Below is a relaxed structure of V2CuBi2, with properties calculated at the PBE level.

The total moment comes out at 3.76 Bohr magnetons per cell. As for the mass density: 9.95 g cm⁻³. For the energy relative to the lowest polymorph listed for this composition, the calculation gives 0.00 eV per formula unit.

The space group is P4/mbm (No. 127) and the conventional cell measures 6.9684, 6.9684 and 4.0090 Å, with angles of 90.00, 90.00 and 90.00 degrees. The inequivalent atoms are V at (0.1284, 0.3716, 0.0000), Cu at (0.0000, 0.0000, 0.0000) and Bi at (0.1727, 0.6727, 0.5000).